A relaxed NdGaPd4 crystal. Source: Alexandria via LeMat-Bulk, functional GGA-PBE.

```
data_NdGaPd4
_cell_length_a 7.768
_cell_length_b 3.998
_cell_length_c 7.023
_cell_angle_alpha 90.00
_cell_angle_beta 90.00
_cell_angle_gamma 90.00
_symmetry_space_group_name_H-M 'P m m a'
_symmetry_Int_Tables_number 51
_symmetry_space_group_name_Hall '-P 2a 2a'
loop_
_atom_site_label
_atom_site_type_symbol
_atom_site_fract_x
_atom_site_fract_y
_atom_site_fract_z
_atom_site_occupancy
Nd1 Nd 0.250 0.000 0.145 1
Ga1 Ga 0.250 0.000 0.715 1
Pd1 Pd 0.000 0.000 0.500 1
Pd2 Pd 0.052 0.500 0.805 1
Pd3 Pd 0.250 0.500 0.456 1
```

Calculated values
Calculated formation energy in eV per atom: -0.693
Total magnetic moment in μB/cell: 0.0
Calculated volume in Å³/atom: 18.178
D(E_F) in states/eV per cell: 5.3

=====

A relaxed Ho7In2Ru2 crystal. Source: Alexandria via LeMat-Bulk, functional GGA-PBE.

```
data_Ho7In2Ru2
_cell_length_a 8.015
_cell_length_b 10.877
_cell_length_c 7.083
_cell_angle_alpha 90.00
_cell_angle_beta 90.00
_cell_angle_gamma 90.00
_symmetry_space_group_name_H-M 'C m m m'
_symmetry_Int_Tables_number 65
_symmetry_space_group_name_Hall '-C 2 2'
loop_
_atom_site_label
_atom_site_type_symbol
_atom_site_fract_x
_atom_site_fract_y
_atom_site_fract_z
_atom_site_occupancy
Ho1 Ho 0.000 0.000 0.000 1
Ho2 Ho 0.000 0.500 0.242 1
Ho3 Ho 0.250 0.250 0.250 1
In1 In 0.177 0.000 0.500 1
Ru1 Ru 0.000 0.294 0.000 1
```

Calculated values
Calculated formation energy in eV per atom: -0.267
Total magnetic moment in μB/cell: 0.0
Calculated volume in Å³/atom: 28.068
D(E_F) in states/eV per cell: 15.4

=====

A relaxed TcPtS2 crystal. Source: Alexandria via LeMat-Bulk, functional GGA-PBE.

```
data_TcPtS2
_cell_length_a 6.130
_cell_length_b 6.130
_cell_length_c 6.130
_cell_angle_alpha 90.00
_cell_angle_beta 90.00
_cell_angle_gamma 90.00
_symmetry_space_group_name_H-M 'F m -3 m'
_symmetry_Int_Tables_number 225
_symmetry_space_group_name_Hall '-F 4 2 3'
loop_
_atom_site_label
_atom_site_type_symbol
_atom_site_fract_x
_atom_site_fract_y
_atom_site_fract_z
_atom_site_occupancy
Tc1 Tc 0.000 0.000 0.000 1
Pt1 Pt 0.000 0.000 0.500 1
S1 S 0.250 0.250 0.250 1
```

Calculated values
Total magnetic moment in μB/cell: 0.0
Calculated volume in Å³/atom: 14.400
D(E_F) in states/eV per cell: 22.3
Raw formation energy in eV per atom: 0.3486

=====

A relaxed La3TbDy8 crystal. Source: Alexandria via LeMat-Bulk, functional GGA-PBE.

```
data_La3TbDy8
_cell_length_a 8.822
_cell_length_b 8.822
_cell_length_c 11.329
_cell_angle_alpha 90.00
_cell_angle_beta 90.00
_cell_angle_gamma 90.00
_symmetry_space_group_name_H-M 'I -4 2 m'
_symmetry_Int_Tables_number 121
_symmetry_space_group_name_Hall 'I -4 2'
loop_
_atom_site_label
_atom_site_type_symbol
_atom_site_fract_x
_atom_site_fract_y
_atom_site_fract_z
_atom_site_occupancy
La1 La 0.000 0.000 0.000 1
La2 La 0.000 0.500 0.250 1
Tb1 Tb 0.000 0.000 0.500 1
Dy1 Dy 0.124 0.124 0.254 1
Dy2 Dy 0.245 0.245 0.509 1
```

Calculated values
Calculated formation energy in eV per atom: 0.598
Total magnetic moment in μB/cell: 0.0
Calculated volume in Å³/atom: 36.741
D(E_F) in states/eV per cell: 37.1

=====

A relaxed Te2AsPtAu crystal. Source: Alexandria via LeMat-Bulk, functional GGA-PBE.

```
data_Te2AsPtAu
_cell_length_a 5.457
_cell_length_b 5.457
_cell_length_c 4.685
_cell_angle_alpha 90.00
_cell_angle_beta 90.00
_cell_angle_gamma 90.00
_symmetry_space_group_name_H-M 'P 4/m m m'
_symmetry_Int_Tables_number 123
_symmetry_space_group_name_Hall '-P 4 2'
loop_
_atom_site_label
_atom_site_type_symbol
_atom_site_fract_x
_atom_site_fract_y
_atom_site_fract_z
_atom_site_occupancy
Te1 Te 0.000 0.500 0.000 1
As1 As 0.000 0.000 0.000 1
Pt1 Pt 0.500 0.500 0.500 1
Au1 Au 0.000 0.000 0.500 1
```

Calculated values
Total magnetic moment in μB/cell: 0.0
Calculated volume in Å³/atom: 27.900
D(E_F) in states/eV per cell: 4.3
Raw formation energy in eV per atom: 0.9101

=====

A relaxed CaSc2Pd crystal. Source: Alexandria via LeMat-Bulk, functional GGA-PBE.

```
data_CaSc2Pd
_cell_length_a 8.197
_cell_length_b 8.197
_cell_length_c 6.171
_cell_angle_alpha 90.00
_cell_angle_beta 90.00
_cell_angle_gamma 90.00
_symmetry_space_group_name_H-M 'I -4 2 d'
_symmetry_Int_Tables_number 122
_symmetry_space_group_name_Hall 'I -4 2bw'
loop_
_atom_site_label
_atom_site_type_symbol
_atom_site_fract_x
_atom_site_fract_y
_atom_site_fract_z
_atom_site_occupancy
Ca1 Ca 0.000 0.000 0.000 1
Sc1 Sc 0.177 0.250 0.625 1
Pd1 Pd 0.000 0.000 0.500 1
```

Calculated values
Calculated formation energy in eV per atom: -0.160
Total magnetic moment in μB/cell: 0.0
Calculated volume in Å³/atom: 25.912
D(E_F) in states/eV per cell: 22.7

=====

A relaxed Na2BiOsC crystal. Source: Alexandria via LeMat-Bulk, functional GGA-PBE.

```
data_Na2BiOsC
_cell_length_a 5.851
_cell_length_b 5.851
_cell_length_c 3.803
_cell_angle_alpha 90.00
_cell_angle_beta 90.00
_cell_angle_gamma 90.00
_symmetry_space_group_name_H-M 'P 4/m m m'
_symmetry_Int_Tables_number 123
_symmetry_space_group_name_Hall '-P 4 2'
loop_
_atom_site_label
_atom_site_type_symbol
_atom_site_fract_x
_atom_site_fract_y
_atom_site_fract_z
_atom_site_occupancy
Na1 Na 0.000 0.500 0.000 1
Bi1 Bi 0.000 0.000 0.500 1
Os1 Os 0.500 0.500 0.000 1
C1 C 0.500 0.500 0.500 1
```

Calculated values
Calculated formation energy in eV per atom: 0.992
Total magnetic moment in μB/cell: 1.8
Calculated volume in Å³/atom: 26.043
D(E_F) in states/eV per cell: 4.9

=====

A relaxed KLi2Ni2 crystal. Source: Alexandria via LeMat-Bulk, functional GGA-PBE.

```
data_KLi2Ni2
_cell_length_a 7.932
_cell_length_b 7.932
_cell_length_c 2.703
_cell_angle_alpha 90.00
_cell_angle_beta 90.00
_cell_angle_gamma 90.00
_symmetry_space_group_name_H-M 'P 4/m b m'
_symmetry_Int_Tables_number 127
_symmetry_space_group_name_Hall '-P 4 2ab'
loop_
_atom_site_label
_atom_site_type_symbol
_atom_site_fract_x
_atom_site_fract_y
_atom_site_fract_z
_atom_site_occupancy
K1 K 0.000 0.000 0.000 1
Li1 Li 0.168 0.332 0.000 1
Ni1 Ni 0.106 0.606 0.500 1
```

Calculated values
Calculated formation energy in eV per atom: 0.357
Total magnetic moment in μB/cell: 0.8
Calculated volume in Å³/atom: 17.006
D(E_F) in states/eV per cell: 7.9

=====

A relaxed Gd2NiRu crystal. Source: Alexandria via LeMat-Bulk, functional GGA-PBE.

```
data_Gd2NiRu
_cell_length_a 6.851
_cell_length_b 6.851
_cell_length_c 6.851
_cell_angle_alpha 90.00
_cell_angle_beta 90.00
_cell_angle_gamma 90.00
_symmetry_space_group_name_H-M 'F m -3 m'
_symmetry_Int_Tables_number 225
_symmetry_space_group_name_Hall '-F 4 2 3'
loop_
_atom_site_label
_atom_site_type_symbol
_atom_site_fract_x
_atom_site_fract_y
_atom_site_fract_z
_atom_site_occupancy
Gd1 Gd 0.250 0.250 0.250 1
Ni1 Ni 0.000 0.000 0.000 1
Ru1 Ru 0.000 0.000 0.500 1
```

Calculated values
Calculated formation energy in eV per atom: -0.322
Total magnetic moment in μB/cell: 56.4
Calculated volume in Å³/atom: 20.099
D(E_F) in states/eV per cell: 12.4

=====

A relaxed Nd3Ge13Rh4 crystal. Source: Alexandria via LeMat-Bulk, functional GGA-PBE.

```
data_Nd3Ge13Rh4
_cell_length_a 9.125
_cell_length_b 9.125
_cell_length_c 9.125
_cell_angle_alpha 90.00
_cell_angle_beta 90.00
_cell_angle_gamma 90.00
_symmetry_space_group_name_H-M 'P m -3 n'
_symmetry_Int_Tables_number 223
_symmetry_space_group_name_Hall '-P 4n 2 3'
loop_
_atom_site_label
_atom_site_type_symbol
_atom_site_fract_x
_atom_site_fract_y
_atom_site_fract_z
_atom_site_occupancy
Nd1 Nd 0.000 0.250 0.500 1
Ge1 Ge 0.000 0.000 0.000 1
Ge2 Ge 0.000 0.305 0.147 1
Rh1 Rh 0.250 0.250 0.250 1
```

Calculated values
Calculated formation energy in eV per atom: -0.550
Total magnetic moment in μB/cell: 0.0
Calculated volume in Å³/atom: 18.995
D(E_F) in states/eV per cell: 10.8

=====

A relaxed Li3CdCu crystal. Source: Alexandria via LeMat-Bulk, functional GGA-PBE.

```
data_Li3CdCu
_cell_length_a 4.637
_cell_length_b 4.637
_cell_length_c 4.637
_cell_angle_alpha 90.00
_cell_angle_beta 90.00
_cell_angle_gamma 90.00
_symmetry_space_group_name_H-M 'P m -3 m'
_symmetry_Int_Tables_number 221
_symmetry_space_group_name_Hall '-P 4 2 3'
loop_
_atom_site_label
_atom_site_type_symbol
_atom_site_fract_x
_atom_site_fract_y
_atom_site_fract_z
_atom_site_occupancy
Li1 Li 0.000 0.000 0.500 1
Cd1 Cd 0.500 0.500 0.500 1
Cu1 Cu 0.000 0.000 0.000 1
```

Calculated values
Calculated formation energy in eV per atom: 0.135
Total magnetic moment in μB/cell: 0.0
Calculated volume in Å³/atom: 19.938
D(E_F) in states/eV per cell: 2.0

=====

A relaxed Tl2InPtI crystal. Source: Alexandria via LeMat-Bulk, functional GGA-PBE.

```
data_Tl2InPtI
_cell_length_a 5.445
_cell_length_b 5.445
_cell_length_c 5.303
_cell_angle_alpha 90.00
_cell_angle_beta 90.00
_cell_angle_gamma 90.00
_symmetry_space_group_name_H-M 'P 4/m m m'
_symmetry_Int_Tables_number 123
_symmetry_space_group_name_Hall '-P 4 2'
loop_
_atom_site_label
_atom_site_type_symbol
_atom_site_fract_x
_atom_site_fract_y
_atom_site_fract_z
_atom_site_occupancy
Tl1 Tl 0.000 0.500 0.000 1
In1 In 0.000 0.000 0.500 1
Pt1 Pt 0.000 0.000 0.000 1
I1 I 0.500 0.500 0.500 1
```

Calculated values
Total magnetic moment in μB/cell: 0.0
Calculated volume in Å³/atom: 31.443
D(E_F) in states/eV per cell: 1.0
Raw formation energy in eV per atom: -0.3657